## Mo2RhSe (GGA-PBE)

Data for a relaxed Mo2RhSe crystal.

The structure in CIF format:
```
data_Mo2RhSe
_chemical_formula_sum 'Mo6 Rh3 Se3'
_symmetry_space_group_name_H-M 'R -3 m'
_symmetry_Int_Tables_number 166
_symmetry_space_group_name_Hall '-R 3 2"'
_cell_length_a 2.9051
_cell_length_b 2.9051
_cell_length_c 25.5154
_cell_angle_alpha 90.00
_cell_angle_beta 90.00
_cell_angle_gamma 120.00
loop_
_atom_site_label
_atom_site_fract_x
_atom_site_fract_y
_atom_site_fract_z
Mo1 0.0000 0.0000 0.2474
Rh1 0.0000 0.0000 0.0000
Se1 0.0000 0.0000 0.5000
```

Computed properties:
Mass density: 9.984 g/cm3
E_form (uncorrected): 13.88 kJ/mol of atoms
VASP energy: -7.981 eV/atom

## TaV (GGA-PBE)

Data for a relaxed TaV crystal.

The structure in CIF format:
```
data_TaV
_chemical_formula_sum 'Ta4 V4'
_symmetry_space_group_name_H-M 'I m m a'
_symmetry_Int_Tables_number 74
_symmetry_space_group_name_Hall '-I 2b 2'
_cell_length_a 3.1572
_cell_length_b 4.5108
_cell_length_c 8.9600
_cell_angle_alpha 90.00
_cell_angle_beta 90.00
_cell_angle_gamma 90.00
loop_
_atom_site_label
_atom_site_fract_x
_atom_site_fract_y
_atom_site_fract_z
Ta1 0.0000 0.2500 0.1172
V1 0.0000 0.2500 0.6366
```

Computed properties:
Mass density: 12.070 g/cm3
VASP energy: -10.457 eV/atom
Excess energy over the best structure of this formula in the dataset: 0.001 eV per atom

## SrMg2Cd (GGA-PBE)

Data for a relaxed SrMg2Cd crystal.

The structure in CIF format:
```
data_SrMg2Cd
_chemical_formula_sum 'Sr3 Mg6 Cd3'
_symmetry_space_group_name_H-M 'R -3 m'
_symmetry_Int_Tables_number 166
_symmetry_space_group_name_Hall '-R 3 2"'
_cell_length_a 3.7003
_cell_length_b 3.7003
_cell_length_c 30.7244
_cell_angle_alpha 90.00
_cell_angle_beta 90.00
_cell_angle_gamma 120.00
loop_
_atom_site_label
_atom_site_fract_x
_atom_site_fract_y
_atom_site_fract_z
Sr1 0.0000 0.0000 0.0000
Mg1 0.0000 0.0000 0.2375
Cd1 0.0000 0.0000 0.5000
```

Computed properties:
Mass density: 3.400 g/cm3
VASP energy: -1.360 eV/atom

## In4FeRh (GGA-PBE)

Data for a relaxed In4FeRh crystal.

The structure in CIF format:
```
data_In4FeRh
_chemical_formula_sum 'In16 Fe4 Rh4'
_symmetry_space_group_name_H-M 'F -4 3 m'
_symmetry_Int_Tables_number 216
_symmetry_space_group_name_Hall 'F -4 2 3'
_cell_length_a 8.0607
_cell_length_b 8.0607
_cell_length_c 8.0607
_cell_angle_alpha 90.00
_cell_angle_beta 90.00
_cell_angle_gamma 90.00
loop_
_atom_site_label
_atom_site_fract_x
_atom_site_fract_y
_atom_site_fract_z
In1 0.1249 0.1249 0.1249
Fe1 0.0000 0.0000 0.5000
Rh1 0.2500 0.2500 0.7500
```

Computed properties:
Mass density: 7.838 g/cm3
VASP energy: -3.728 eV/atom

## Ba2MgPbO (GGA-PBE)

Data for a relaxed Ba2MgPbO crystal.

The structure in CIF format:
```
data_Ba2MgPbO
_chemical_formula_sum 'Ba2 Mg1 Pb1 O1'
_symmetry_space_group_name_H-M 'P 4/m m m'
_symmetry_Int_Tables_number 123
_symmetry_space_group_name_Hall '-P 4 2'
_cell_length_a 5.7944
_cell_length_b 5.7944
_cell_length_c 4.3710
_cell_angle_alpha 90.00
_cell_angle_beta 90.00
_cell_angle_gamma 90.00
loop_
_atom_site_label
_atom_site_fract_x
_atom_site_fract_y
_atom_site_fract_z
Ba1 0.0000 0.5000 0.0000
Mg1 0.0000 0.0000 0.5000
Pb1 0.5000 0.5000 0.5000
O1 0.0000 0.0000 0.0000
```

Computed properties:
Mass density: 5.908 g/cm3
E_form (uncorrected): -109.39 kJ/mol of atoms
VASP energy: -3.955 eV/atom

## TiPOs2 (GGA-PBE)

Data for a relaxed TiPOs2 crystal.

The structure in CIF format:
```
data_TiPOs2
_chemical_formula_sum 'Ti4 P4 Os8'
_symmetry_space_group_name_H-M 'I -4 2 d'
_symmetry_Int_Tables_number 122
_symmetry_space_group_name_Hall 'I -4 2bw'
_cell_length_a 7.1036
_cell_length_b 7.1036
_cell_length_c 4.9891
_cell_angle_alpha 90.00
_cell_angle_beta 90.00
_cell_angle_gamma 90.00
loop_
_atom_site_label
_atom_site_fract_x
_atom_site_fract_y
_atom_site_fract_z
Ti1 0.0000 0.0000 0.0000
P1 0.0000 0.0000 0.5000
Os1 0.1709 0.2500 0.6250
```

Computed properties:
Mass density: 12.118 g/cm3
VASP energy: -8.905 eV/atom